Entry 1:
Material: In4SiOs
Method: DFT, SCAN
State: PBEsol geometry

Calculated values
- Formation energy from raw total energies: 6.959 eV per formula unit
- Size of the total moment: 1.4 μB/cell

POSCAR file:
```
In4SiOs
1.0
0.0000 3.9775 3.9775
3.9775 0.0000 3.9775
3.9775 3.9775 0.0000
In Si Os
4 1 1
Direct
0.1253 0.1253 0.1253
0.1253 0.1253 0.6241
0.1253 0.6241 0.1253
0.6241 0.1253 0.1253
0.7500 0.7500 0.7500
0.5000 0.5000 0.5000
```

Entry 2:
Material: AlZnCl2
Method: DFT, SCAN
State: PBEsol geometry

Calculated values
- E above lowest polymorph: 3.76 kcal/mol of atoms
- Formation energy from raw total energies: -2.019 eV per formula unit
- Size of the total moment: 0.0 μB/cell

POSCAR file:
```
AlZnCl2
1.0
-4.7854 4.7854 2.5012
4.7854 -4.7854 2.5012
4.7854 4.7854 -2.5012
Al Zn Cl
2 2 4
Direct
0.3750 0.6250 0.7500
0.6250 0.3750 0.2500
0.1250 0.8750 0.2500
0.8750 0.1250 0.7500
0.0000 0.5000 0.5000
0.5000 0.0000 0.0000
0.5000 0.5000 0.0000
0.5000 0.5000 0.5000
```

Entry 3:
Material: SrLaNi2
Method: DFT, SCAN
State: PBEsol geometry

Calculated values
- E above lowest polymorph: 2.54 kcal/mol of atoms
- Size of the total moment: 0.0 μB/cell

POSCAR file:
```
SrLaNi2
1.0
2.2602 1.3049 5.2386
-2.2602 1.3049 5.2386
0.0000 -2.6098 5.2386
Sr La Ni
1 1 2
Direct
0.0000 0.0000 0.0000
0.5000 0.5000 0.5000
0.2053 0.2053 0.2053
0.7947 0.7947 0.7947
```

Entry 4:
Material: K4MoOs
Method: DFT, SCAN
State: PBEsol geometry

Calculated values
- Total energy: -128.74 eV for the cell shown
- Size of the total moment: 7.1 μB/cell

POSCAR file:
```
K4MoOs
1.0
0.0000 4.4560 4.4560
4.4560 0.0000 4.4560
4.4560 4.4560 0.0000
K Mo Os
4 1 1
Direct
0.1240 0.1240 0.1240
0.1240 0.1240 0.6280
0.1240 0.6280 0.1240
0.6280 0.1240 0.1240
0.5000 0.5000 0.5000
0.7500 0.7500 0.7500
```

Entry 5:
Material: RhS2I
Method: DFT, SCAN
State: PBEsol geometry

Calculated values
- Formation energy from raw total energies: -1.318 eV per formula unit
- Size of the total moment: 0.0 μB/cell

POSCAR file:
```
RhS2I
1.0
1.8308 1.0570 7.3677
-1.8308 1.0570 7.3677
0.0000 -2.1140 7.3677
Rh S I
1 2 1
Direct
0.0000 0.0000 0.0000
0.3822 0.3822 0.3822
0.6178 0.6178 0.6178
0.5000 0.5000 0.5000
```

Entry 6:
Material: TaTc2Mo
Method: DFT, SCAN
State: PBEsol geometry

Calculated values
- E above lowest polymorph: 5.82 kcal/mol of atoms
- Size of the total moment: 0.0 μB/cell

POSCAR file:
```
TaTc2Mo
1.0
1.5606 -2.2336 0.0000
1.5606 2.2336 0.0000
0.0000 0.0000 8.7232
Ta Tc Mo
1 2 1
Direct
0.0000 0.0000 0.0000
0.0000 0.0000 0.5052
0.5000 0.5000 0.7482
0.5000 0.5000 0.2615
```

Entry 7:
Material: YSCl2F
Method: DFT, SCAN
State: PBEsol geometry

Calculated values
- Formation energy from raw total energies: -5.220 eV per formula unit
- Size of the total moment: 0.0 μB/cell

POSCAR file:
```
YSCl2F
1.0
4.8869 0.0000 0.0000
0.0000 4.8869 0.0000
0.0000 0.0000 3.8228
Y S Cl F
1 1 2 1
Direct
0.0000 0.0000 0.0000
0.5000 0.5000 0.0000
0.0000 0.5000 0.5000
0.5000 0.0000 0.5000
0.5000 0.5000 0.5000
```

Entry 8:
Material: BaTcIr2
Method: DFT, SCAN
State: PBEsol geometry

Calculated values
- Total energy: -213.57 eV for the cell shown
- Size of the total moment: 0.0 μB/cell

POSCAR file:
```
BaTcIr2
1.0
-1.6430 2.7805 4.6892
1.6430 -2.7805 4.6892
1.6430 2.7805 -4.6892
Ba Tc Ir
1 1 2
Direct
0.0000 0.0000 0.0000
0.5000 0.5000 0.0000
0.3121 0.8121 0.5000
0.6879 0.1879 0.5000
```

Entry 9:
Material: CuAuCl
Method: DFT, SCAN
State: PBEsol geometry

Calculated values
- E above lowest polymorph: 0.00 kcal/mol of atoms
- Formation energy from raw total energies: -0.288 eV per formula unit
- Size of the total moment: 0.0 μB/cell

POSCAR file:
```
CuAuCl
1.0
3.1493 0.0000 0.0000
-1.5747 2.7274 0.0000
0.0000 0.0000 5.7610
Cu Au Cl
1 1 1
Direct
0.0000 0.0000 0.0000
0.3333 0.6667 0.6823
0.6667 0.3333 0.2625
```

Entry 10:
Material: ScTcMo2
Method: DFT, SCAN
State: PBEsol geometry

Calculated values
- Total energy: -119.54 eV for the cell shown
- Size of the total moment: 0.0 μB/cell

POSCAR file:
```
ScTcMo2
1.0
-1.5692 2.1988 4.5588
1.5692 -2.1988 4.5588
1.5692 2.1988 -4.5588
Sc Tc Mo
1 1 2
Direct
0.0000 0.0000 0.0000
0.5000 0.5000 0.0000
0.2622 0.7622 0.5000
0.7378 0.2378 0.5000
```

Entry 11:
Material: MnHgCl
Method: DFT, SCAN
State: PBEsol geometry

Calculated values
- Formation energy from raw total energies: -1.347 eV per formula unit
- Size of the total moment: 4.5 μB/cell

POSCAR file:
```
MnHgCl
1.0
0.0000 2.2237 6.0913
2.2180 0.0000 6.0913
2.2180 2.2237 0.0000
Mn Hg Cl
1 1 1
Direct
0.0000 0.0000 0.0000
0.3477 0.3477 0.6523
0.6095 0.6095 0.3905
```

Entry 12:
Material: KHf3Co
Method: DFT, SCAN
State: PBEsol geometry

Calculated values
- Total energy: -201.52 eV for the cell shown
- Size of the total moment: 1.2 μB/cell

POSCAR file:
```
KHf3Co
1.0
4.6712 0.0000 0.0000
0.0000 4.6712 0.0000
0.0000 0.0000 4.6712
K Hf Co
1 3 1
Direct
0.0000 0.0000 0.0000
0.0000 0.0000 0.5000
0.0000 0.5000 0.0000
0.5000 0.0000 0.0000
0.5000 0.5000 0.5000
```

Entry 13:
Material: ZrCd2Hg
Method: DFT, SCAN
State: PBEsol geometry

Calculated values
- Total energy: -160.40 eV for the cell shown
- Size of the total moment: 0.0 μB/cell

POSCAR file:
```
ZrCd2Hg
1.0
3.1482 0.0000 0.0000
0.0000 3.1482 0.0000
0.0000 0.0000 8.2255
Zr Cd Hg
1 2 1
Direct
0.0000 0.0000 0.0000
0.0000 0.0000 0.5018
0.5000 0.5000 0.2563
0.5000 0.5000 0.7521
```

Entry 14:
Material: LaW
Method: DFT, SCAN
State: PBEsol geometry

Calculated values
- E above lowest polymorph: 3.14 kcal/mol of atoms
- Size of the total moment: 0.0 μB/cell

POSCAR file:
```
LaW
1.0
4.3668 0.0000 0.0000
0.0000 3.1682 0.0000
0.0000 0.0000 6.7625
La W
2 2
Direct
0.2500 0.0000 0.1659
0.7500 0.0000 0.8341
0.2500 0.5000 0.5927
0.7500 0.5000 0.4073
```

Entry 15:
Material: MgTl2Te
Method: DFT, SCAN
State: PBEsol geometry

Calculated values
- Formation energy from raw total energies: -0.884 eV per formula unit
- Size of the total moment: 0.0 μB/cell

POSCAR file:
```
MgTl2Te
1.0
-2.0682 2.1494 6.3828
2.0682 -2.1494 6.3828
2.0682 2.1494 -6.3828
Mg Tl Te
1 2 1
Direct
0.0000 0.0000 0.0000
0.2034 0.7034 0.5000
0.7966 0.2966 0.5000
0.5000 0.5000 0.0000
```

Entry 16:
Material: CdSiRu2
Method: DFT, SCAN
State: PBEsol geometry

Calculated values
- Formation energy from raw total energies: -0.444 eV per formula unit
- Size of the total moment: 0.0 μB/cell

POSCAR file:
```
CdSiRu2
1.0
2.8588 0.0000 0.0000
0.0000 3.7034 0.0000
-1.1940 0.0000 5.5200
Cd Si Ru
1 1 2
Direct
0.0000 0.0000 0.0000
0.0000 0.0000 0.5000
0.3612 0.5000 0.7127
0.6388 0.5000 0.2873
```

Entry 17:
Material: NaNiO2
Method: DFT, SCAN
State: PBEsol geometry

Calculated values
- Formation energy from raw total energies: -5.907 eV per formula unit
- Size of the total moment: 2.0 μB/cell

POSCAR file:
```
NaNiO2
1.0
1.4162 -2.6606 0.0000
1.4162 2.6606 0.0000
0.0000 0.0000 10.3929
Na Ni O
2 2 4
Direct
0.1799 0.8201 0.7500
0.8201 0.1799 0.2500
0.5000 0.5000 0.0000
0.5000 0.5000 0.5000
0.1452 0.8548 0.0959
0.1452 0.8548 0.4041
0.8548 0.1452 0.5959
0.8548 0.1452 0.9041
```

Entry 18:
Material: RbZrIr3
Method: DFT, SCAN
State: PBEsol geometry

Calculated values
- E above lowest polymorph: 0.00 kcal/mol of atoms
- Size of the total moment: 1.4 μB/cell

POSCAR file:
```
RbZrIr3
1.0
4.9335 0.0000 0.0000
0.0000 4.9335 0.0000
0.0000 0.0000 4.9335
Rb Zr Ir
1 1 3
Direct
0.0000 0.0000 0.0000
0.5000 0.5000 0.5000
0.0000 0.5000 0.5000
0.5000 0.0000 0.5000
0.5000 0.5000 0.0000
```

Entry 19:
Material: BeOs
Method: DFT, SCAN
State: PBEsol geometry

Calculated values
- Total energy: -153.41 eV for the cell shown
- Size of the total moment: 0.0 μB/cell

POSCAR file:
```
BeOs
1.0
1.3884 -4.1324 0.0000
1.3884 4.1324 0.0000
0.0000 0.0000 3.7121
Be Os
2 2
Direct
0.0733 0.9267 0.7500
0.9267 0.0733 0.2500
0.3484 0.6516 0.7500
0.6516 0.3484 0.2500
```

Entry 20:
Material: BaLi2Pt
Method: DFT, SCAN
State: PBEsol geometry

Calculated values
- E above lowest polymorph: 3.70 kcal/mol of atoms
- Size of the total moment: 0.0 μB/cell

POSCAR file:
```
BaLi2Pt
1.0
-2.1824 2.1824 4.4280
2.1824 -2.1824 4.4280
2.1824 2.1824 -4.4280
Ba Li Pt
1 2 1
Direct
0.0000 0.0000 0.0000
0.2500 0.7500 0.5000
0.7500 0.2500 0.5000
0.5000 0.5000 0.0000
```

Entry 21:
Material: AgMoAu
Method: DFT, SCAN
State: PBEsol geometry

Calculated values
- Total energy: -133.10 eV for the cell shown
- Size of the total moment: 0.0 μB/cell

POSCAR file:
```
AgMoAu
1.0
0.0000 3.0361 3.0361
3.0361 0.0000 3.0361
3.0361 3.0361 0.0000
Ag Mo Au
1 1 1
Direct
0.0000 0.0000 0.0000
0.5000 0.5000 0.5000
0.7500 0.7500 0.7500
```

Entry 22:
Material: TlCrGe2
Method: DFT, SCAN
State: PBEsol geometry

Calculated values
- Total energy: -127.14 eV for the cell shown
- Size of the total moment: 4.4 μB/cell

POSCAR file:
```
TlCrGe2
1.0
0.0000 3.3945 3.3945
3.3945 0.0000 3.3945
3.3945 3.3945 0.0000
Tl Cr Ge
1 1 2
Direct
0.0000 0.0000 0.0000
0.5000 0.5000 0.5000
0.2500 0.2500 0.2500
0.7500 0.7500 0.7500
```

Entry 23:
Material: CaLaTc2Br
Method: DFT, SCAN
State: PBEsol geometry

Calculated values
- Formation energy from raw total energies: 4.114 eV per formula unit
- Size of the total moment: 3.0 μB/cell

POSCAR file:
```
CaLaTc2Br
1.0
4.7939 0.0000 0.0000
0.0000 4.7939 0.0000
0.0000 0.0000 5.8922
Ca La Tc Br
1 1 2 1
Direct
0.0000 0.0000 0.0000
0.5000 0.5000 0.5000
0.0000 0.5000 0.5000
0.5000 0.0000 0.5000
0.5000 0.5000 0.0000
```

Entry 24:
Material: CrMoAs4
Method: DFT, SCAN
State: PBEsol geometry

Calculated values
- Total energy: -129.48 eV for the cell shown
- Size of the total moment: 3.7 μB/cell

POSCAR file:
```
CrMoAs4
1.0
0.0000 3.7464 3.7464
3.7464 0.0000 3.7464
3.7464 3.7464 0.0000
Cr Mo As
1 1 4
Direct
0.0000 0.0000 0.0000
0.2500 0.2500 0.2500
0.1268 0.6244 0.6244
0.6244 0.1268 0.6244
0.6244 0.6244 0.1268
0.6244 0.6244 0.6244
```

Entry 25:
Material: K2AlCuHg
Method: DFT, SCAN
State: PBEsol geometry

Calculated values
- Total energy: -105.60 eV for the cell shown
- Size of the total moment: 0.0 μB/cell

POSCAR file:
```
K2AlCuHg
1.0
5.9161 0.0000 0.0000
0.0000 5.9161 0.0000
0.0000 0.0000 4.9157
K Al Cu Hg
2 1 1 1
Direct
0.0000 0.5000 0.0000
0.5000 0.0000 0.0000
0.0000 0.0000 0.5000
0.5000 0.5000 0.0000
0.5000 0.5000 0.5000
```

Entry 26:
Material: Na2P2Se
Method: DFT, SCAN
State: PBEsol geometry

Calculated values
- Formation energy from raw total energies: -0.982 eV per formula unit
- Size of the total moment: 0.0 μB/cell

POSCAR file:
```
Na2P2Se
1.0
-2.8441 2.8441 3.5240
2.8441 -2.8441 3.5240
2.8441 2.8441 -3.5240
Na P Se
2 2 1
Direct
0.2500 0.7500 0.5000
0.7500 0.2500 0.5000
0.1489 0.1489 0.0000
0.8511 0.8511 0.0000
0.5000 0.5000 0.0000
```

Entry 27:
Material: SrCrIrRh2
Method: DFT, SCAN
State: PBEsol geometry

Calculated values
- Total energy: -177.17 eV for the cell shown
- Size of the total moment: 3.3 μB/cell

POSCAR file:
```
SrCrIrRh2
1.0
4.8381 0.0000 0.0000
0.0000 4.8381 0.0000
0.0000 0.0000 4.5367
Sr Cr Ir Rh
1 1 1 2
Direct
0.0000 0.0000 0.0000
0.5000 0.5000 0.0000
0.5000 0.5000 0.5000
0.0000 0.5000 0.5000
0.5000 0.0000 0.5000
```

Entry 28:
Material: CoCuRh
Method: DFT, SCAN
State: PBEsol geometry

Calculated values
- E above lowest polymorph: 0.34 kcal/mol of atoms
- Size of the total moment: 2.5 μB/cell

POSCAR file:
```
CoCuRh
1.0
2.5908 0.0000 0.0000
-1.2954 2.2437 0.0000
0.0000 0.0000 6.2082
Co Cu Rh
1 1 1
Direct
0.0000 0.0000 0.0000
0.3333 0.6667 0.6764
0.6667 0.3333 0.3269
```

Entry 29:
Material: PtWCl
Method: DFT, SCAN
State: PBEsol geometry

Calculated values
- E above lowest polymorph: 0.00 kcal/mol of atoms
- Formation energy from raw total energies: 0.370 eV per formula unit
- Size of the total moment: 0.0 μB/cell

POSCAR file:
```
PtWCl
1.0
2.8923 0.0000 0.0000
-1.4461 2.5048 0.0000
0.0000 0.0000 6.5466
Pt W Cl
1 1 1
Direct
0.0000 0.0000 0.0000
0.6667 0.3333 0.6804
0.3333 0.6667 0.3967
```

Entry 30:
Material: KCr2Mo
Method: DFT, SCAN
State: PBEsol geometry

Calculated values
- E above lowest polymorph: 6.90 kcal/mol of atoms
- Size of the total moment: 5.3 μB/cell

POSCAR file:
```
KCr2Mo
1.0
-1.4860 2.8937 4.8060
1.4860 -2.8937 4.8060
1.4860 2.8937 -4.8060
K Cr Mo
1 2 1
Direct
0.0000 0.0000 0.0000
0.3030 0.8030 0.5000
0.6970 0.1970 0.5000
0.5000 0.5000 0.0000
```